# 1
The following is a DFT calculation (PBE-GGA) of a relaxed structure of RbGeAuO3. Values from VASP.

Cell and atoms, written as Quantum ESPRESSO input:
```
&SYSTEM
  ibrav = 0, nat = 24, ntyp = 4
/
ATOMIC_SPECIES
Rb 85.47 Rb.upf
Ge 72.64 Ge.upf
Au 196.97 Au.upf
O 16.00 O.upf
ATOMIC_POSITIONS crystal
Rb 0.243 0.250 0.137
Rb 0.257 0.750 0.637
Rb 0.743 0.250 0.363
Rb 0.757 0.750 0.863
Ge 0.032 0.250 0.379
Ge 0.468 0.750 0.879
Ge 0.532 0.250 0.121
Ge 0.968 0.750 0.621
Au 0.024 0.250 0.905
Au 0.476 0.750 0.405
Au 0.524 0.250 0.595
Au 0.976 0.750 0.095
O 0.061 0.750 0.768
O 0.073 0.250 0.555
O 0.118 0.750 0.329
O 0.382 0.250 0.829
O 0.427 0.750 0.055
O 0.439 0.250 0.268
O 0.561 0.750 0.732
O 0.573 0.250 0.945
O 0.618 0.750 0.171
O 0.882 0.250 0.671
O 0.927 0.750 0.445
O 0.939 0.250 0.232
CELL_PARAMETERS angstrom
12.110 0.000 0.000
0.000 3.057 0.000
0.000 0.000 10.359
```

---

# 2
The following is a DFT calculation (PBE-GGA) of a relaxed structure of ScGeAuO3. Values from VASP.

Cell and atoms, written as Quantum ESPRESSO input:
```
&SYSTEM
  ibrav = 0, nat = 12, ntyp = 4
/
ATOMIC_SPECIES
Sc 44.96 Sc.upf
Ge 72.64 Ge.upf
Au 196.97 Au.upf
O 16.00 O.upf
ATOMIC_POSITIONS crystal
Sc 0.000 0.000 0.000
Sc 0.000 0.000 0.500
Ge 0.334 0.666 0.750
Ge 0.666 0.334 0.250
Au 0.404 0.596 0.250
Au 0.596 0.404 0.750
O 0.129 0.871 0.096
O 0.129 0.871 0.404
O 0.218 0.782 0.750
O 0.782 0.218 0.250
O 0.871 0.129 0.596
O 0.871 0.129 0.904
CELL_PARAMETERS angstrom
1.476 -7.301 0.000
1.476 7.301 0.000
0.000 0.000 7.792
```

---

# 3
The following is a DFT calculation (PBE-GGA) of a relaxed structure of TbGeAuO3. Values from VASP.

Cell and atoms, written as Quantum ESPRESSO input:
```
&SYSTEM
  ibrav = 0, nat = 12, ntyp = 4
/
ATOMIC_SPECIES
Tb 158.93 Tb.upf
Ge 72.64 Ge.upf
Au 196.97 Au.upf
O 16.00 O.upf
ATOMIC_POSITIONS crystal
Tb 0.000 0.000 0.000
Tb 0.000 0.000 0.500
Ge 0.327 0.673 0.750
Ge 0.673 0.327 0.250
Au 0.350 0.650 0.250
Au 0.650 0.350 0.750
O 0.084 0.916 0.250
O 0.381 0.619 0.502
O 0.381 0.619 0.998
O 0.619 0.381 0.002
O 0.619 0.381 0.498
O 0.916 0.084 0.750
CELL_PARAMETERS angstrom
1.744 -6.261 0.000
1.744 6.261 0.000
0.000 0.000 8.184
```

---

Number 1: E -5.13 eV per atom. Number 2: E -6.08 eV per atom. Number 3: E -6.30 eV per atom.